# 1
## ZrPSeCl2 (PBEsol)

Data for a relaxed structure of ZrPSeCl2.

Geometry as extended XYZ:
```
5
Lattice="4.659 0.000 0.000 0.000 4.659 0.000 0.000 0.000 5.133" Properties=species:S:1:pos:R:3 pbc="T T T"
Zr 0.000 0.000 0.000
P 2.329 2.329 0.000
Se 2.329 2.329 2.567
Cl 0.000 2.329 2.567
Cl 2.329 0.000 2.567
```

Space group = P4/mmm
Mass density = 4.05 Mg/m³
Raw formation energy = 0.479 eV/atom
Magnetic moment = 1.59 μB per formula unit
Volume = 111.4 Å³ per cell
E_tot = -4.07 eV/atom

# 2
## InHgSe2 (PBEsol)

Data for a relaxed structure of InHgSe2.

Geometry as extended XYZ:
```
4
Lattice="4.050 0.000 0.000 0.000 4.050 0.000 0.000 0.000 5.709" Properties=species:S:1:pos:R:3 pbc="T T T"
In 0.000 0.000 0.000
Hg 2.025 2.025 2.855
Se 0.000 0.000 2.855
Se 2.025 2.025 0.000
```

Space group = P4/mmm
Mass density = 8.39 Mg/m³
Raw formation energy = -0.320 eV/atom
Magnetic moment = 0.00 μB per formula unit
Volume = 93.6 Å³ per cell
E_tot = -3.13 eV/atom

# 3
## KReSe2 (PBEsol)

Data for a relaxed structure of KReSe2.

Geometry as extended XYZ:
```
4
Lattice="0.000 3.411 3.411 3.411 0.000 3.411 3.411 3.411 0.000" Properties=species:S:1:pos:R:3 pbc="T T T"
K 0.000 0.000 0.000
Re 5.116 5.116 5.116
Se 1.705 1.705 1.705
Se 3.411 3.411 3.411
```

Space group = F-43m
Mass density = 8.02 Mg/m³
Raw formation energy = 1.262 eV/atom
Magnetic moment = 2.07 μB per formula unit
Volume = 79.4 Å³ per cell
E_tot = -4.28 eV/atom

# 4
## Hf6Al2Fe (PBEsol)

Data for a relaxed structure of Hf6Al2Fe.

Geometry as extended XYZ:
```
9
Lattice="7.784 0.000 0.000 -3.892 6.741 0.000 0.000 0.000 3.230" Properties=species:S:1:pos:R:3 pbc="T T T"
Hf -1.530 2.649 0.000
Hf -2.915 5.050 1.615
Hf 0.976 1.691 1.615
Hf 3.059 0.000 0.000
Hf 2.362 4.092 0.000
Hf 5.831 0.000 1.615
Al 0.000 4.494 1.615
Al 3.892 2.247 1.615
Fe 0.000 0.000 0.000
```

Space group = P-62m
Formation enthalpy at 0 K = -0.30 eV/atom
Mass density = 11.57 Mg/m³
Magnetic moment = 0.00 μB per formula unit
Volume = 169.5 Å³ per cell
E_tot = -9.21 eV/atom